6
Lattice="0.0000 4.8904 4.8904 4.8904 0.0000 4.8904 4.8904 4.8904 0.0000" Properties=species:S:1:pos:R:3 comment="PBE Sr4BeCo, relaxed" e_tot_ev_per_atom=-1.641 formation_enthalpy_0k_ev_per_atom=1.286 magmom_total_mub_per_fu=0.96 pbc="T T T"
Sr 1.2232 1.2232 1.2232
Sr 3.6672 3.6672 1.2232
Sr 3.6672 1.2232 3.6672
Sr 1.2232 3.6672 3.6672
Be 7.3356 7.3356 7.3356
Co 4.8904 4.8904 4.8904

---

4
Lattice="3.7198 0.0000 0.0000 0.0000 3.7198 0.0000 0.0000 0.0000 7.3263" Properties=species:S:1:pos:R:3 comment="PBE Sr2BeCo, relaxed" e_tot_ev_per_atom=-2.932 formation_enthalpy_0k_ev_per_atom=0.617 magmom_total_mub_per_fu=0.99 pbc="T T T"
Sr 0.0000 0.0000 1.7831
Sr 0.0000 0.0000 5.5432
Be 1.8599 1.8599 3.6632
Co 1.8599 1.8599 0.0000

---

4
Lattice="3.9084 -1.9220 0.0000 3.9084 1.9220 0.0000 -1.8516 0.0000 7.8906" Properties=species:S:1:pos:R:3 comment="PBE Sr2BeCo, relaxed" e_tot_ev_per_atom=-2.714 formation_enthalpy_0k_ev_per_atom=0.834 magmom_total_mub_per_fu=0.82 pbc="T T T"
Sr 1.4765 0.0000 1.8712
Sr 4.4888 0.0000 6.0194
Be -0.9258 0.0000 3.9453
Co 3.9084 0.0000 0.0000

---

5
Lattice="5.7146 0.0000 0.0000 0.0000 5.7146 0.0000 0.0000 0.0000 4.3350" Properties=species:S:1:pos:R:3 comment="PBE Sr2BeCoTc, relaxed" e_tot_ev_per_atom=-3.979 formation_enthalpy_0k_ev_per_atom=0.933 magmom_total_mub_per_fu=1.68 pbc="T T T"
Sr 0.0000 2.8573 0.0000
Sr 2.8573 0.0000 0.0000
Be 0.0000 0.0000 2.1675
Co 2.8573 2.8573 0.0000
Tc 2.8573 2.8573 2.1675

---

5
Lattice="6.0238 0.0000 0.0000 0.0000 6.0238 0.0000 0.0000 0.0000 4.5576" Properties=species:S:1:pos:R:3 comment="PBE Sr2ZrBeCo, relaxed" e_tot_ev_per_atom=-2.910 formation_enthalpy_0k_ev_per_atom=1.639 magmom_total_mub_per_fu=0.24 pbc="T T T"
Sr 0.0000 3.0119 0.0000
Sr 3.0119 0.0000 0.0000
Zr 0.0000 0.0000 0.0000
Be 0.0000 0.0000 2.2788
Co 3.0119 3.0119 2.2788

---

12
Lattice="3.9469 0.0000 0.0000 -1.9734 3.4181 0.0000 0.0000 0.0000 9.6423" Properties=species:S:1:pos:R:3 comment="PBE TaBe2Co3, relaxed" e_tot_ev_per_atom=-7.039 formation_enthalpy_0k_ev_per_atom=-0.268 de_polymorph_mev_per_atom=0 magmom_total_mub_per_fu=0.00 pbc="T T T"
Ta 0.0000 2.2787 1.7127
Ta 1.9734 1.1394 7.9296
Be 0.0000 0.0000 0.0000
Be 0.0000 0.0000 4.8211
Be 0.0000 2.2787 6.3542
Be 1.9734 1.1394 3.2881
Co 0.0000 0.0000 2.6014
Co 0.0000 0.0000 7.0409
Co 0.0000 2.2787 4.1282
Co 0.0000 2.2787 8.8430
Co 1.9734 1.1394 0.7992
Co 1.9734 1.1394 5.5141

---

4
Lattice="3.0681 -1.7724 0.0000 3.0681 1.7724 0.0000 -2.0515 0.0000 4.1185" Properties=species:S:1:pos:R:3 comment="PBE TaBe2Co, relaxed" e_tot_ev_per_atom=-6.716 formation_enthalpy_0k_ev_per_atom=-0.113 de_polymorph_mev_per_atom=62 magmom_total_mub_per_fu=0.00 pbc="T T T"
Ta 0.0000 0.0000 0.0000
Be -0.0042 0.0000 2.5780
Be 4.0889 0.0000 1.5404
Co 2.0423 0.0000 2.0592

---

10
Lattice="6.4578 0.0000 0.0000 0.0000 6.4578 0.0000 0.0000 0.0000 2.6433" Properties=species:S:1:pos:R:3 comment="PBE TaBe2Co2, relaxed" e_tot_ev_per_atom=-6.811 formation_enthalpy_0k_ev_per_atom=-0.107 de_polymorph_mev_per_atom=116 magmom_total_mub_per_fu=0.00 pbc="T T T"
Ta 0.0000 0.0000 0.0000
Ta 3.2289 3.2289 0.0000
Be 0.9704 2.2585 1.3217
Be 2.2585 5.4874 1.3217
Be 4.1992 0.9704 1.3217
Be 5.4874 4.1992 1.3217
Co 0.9144 4.1433 0.0000
Co 2.3145 0.9144 0.0000
Co 4.1433 5.5434 0.0000
Co 5.5434 2.3145 0.0000

---

13
Lattice="-3.8797 3.8797 2.1863 3.8797 -3.8797 2.1863 3.8797 3.8797 -2.1863" Properties=species:S:1:pos:R:3 comment="PBE TaBe4Co8, relaxed" e_tot_ev_per_atom=-6.622 formation_enthalpy_0k_ev_per_atom=-0.191 magmom_total_mub_per_fu=7.54 pbc="T T T"
Ta 0.0000 0.0000 0.0000
Be 1.9399 1.9399 -1.0932
Be 1.9399 -1.9399 1.0932
Be -1.9399 1.9399 1.0932
Be 1.9399 1.9399 1.0932
Co 2.7079 0.0000 0.0000
Co 5.0515 0.0000 0.0000
Co 3.8797 2.1956 0.0000
Co 0.0000 2.7079 0.0000
Co 2.1956 3.8797 0.0000
Co 1.6841 0.0000 2.1863
Co 0.0000 5.0515 0.0000
Co 0.0000 1.6841 2.1863

---

4
Lattice="1.3374 0.7722 7.8414 -1.3374 0.7722 7.8414 0.0000 -1.5443 7.8414" Properties=species:S:1:pos:R:3 comment="PBE TaBe2Co, relaxed" e_tot_ev_per_atom=-6.331 formation_enthalpy_0k_ev_per_atom=0.271 de_polymorph_mev_per_atom=446 magmom_total_mub_per_fu=0.69 pbc="T T T"
Ta 0.0000 0.0000 0.0000
Be 0.0000 0.0000 5.5844
Be 0.0000 0.0000 17.9399
Co 0.0000 0.0000 11.7621

---

6
Lattice="0.0000 3.2641 3.2641 3.2641 0.0000 3.2641 3.2641 3.2641 0.0000" Properties=species:S:1:pos:R:3 comment="PBE TaBeCo4, relaxed" e_tot_ev_per_atom=-7.399 formation_enthalpy_0k_ev_per_atom=-0.066 de_polymorph_mev_per_atom=0 magmom_total_mub_per_fu=0.00 pbc="T T T"
Ta 0.0000 0.0000 0.0000
Be 4.8962 4.8962 4.8962
Co 2.4563 2.4563 2.4563
Co 4.0720 4.0720 2.4563
Co 4.0720 2.4563 4.0720
Co 2.4563 4.0720 4.0720

---

4
Lattice="3.5707 0.0000 0.0000 0.0000 1.3838 4.5083 0.0000 -1.3838 4.5083" Properties=species:S:1:pos:R:3 comment="PBE TaBe2Co, relaxed" e_tot_ev_per_atom=-6.701 formation_enthalpy_0k_ev_per_atom=-0.099 de_polymorph_mev_per_atom=76 magmom_total_mub_per_fu=0.00 pbc="T T T"
Ta 0.0000 0.0000 0.0000
Be 0.0000 0.0000 6.6221
Be 1.7854 0.0000 5.5740
Co 1.7854 0.0000 2.9100

---

12
Lattice="4.2553 0.0000 0.0000 -2.1277 3.6852 0.0000 0.0000 0.0000 6.9688" Properties=species:S:1:pos:R:3 comment="PBE TaBe8Co3, relaxed" e_tot_ev_per_atom=-5.505 formation_enthalpy_0k_ev_per_atom=-0.256 magmom_total_mub_per_fu=1.04 pbc="T T T"
Ta 0.0000 0.0000 0.0000
Be 0.0000 1.2052 4.6974
Be -1.0840 3.0827 4.6974
Be 0.0000 2.4568 3.0909
Be 0.0000 2.4568 6.5051
Be 2.1277 0.0255 1.4486
Be 1.0859 1.8299 1.4486
Be 1.0840 3.0827 4.6974
Be 3.1695 1.8299 1.4486
Co 0.0000 0.0000 2.5490
Co 2.1277 1.2284 3.4957
Co 2.1277 1.2284 6.2030

---

12
Lattice="2.2416 1.2942 6.9517 -2.2416 1.2942 6.9517 0.0000 -2.5884 6.9517" Properties=species:S:1:pos:R:3 comment="PBE Ta2Be9Co, relaxed" e_tot_ev_per_atom=-5.447 formation_enthalpy_0k_ev_per_atom=-0.085 magmom_total_mub_per_fu=0.66 pbc="T T T"
Ta 0.0000 0.0000 2.9764
Ta 0.0000 0.0000 17.8788
Be -1.1279 -0.6512 8.6584
Be 0.0000 0.0000 6.9844
Be 0.0000 -1.3024 12.1967
Be -1.1279 0.6512 12.1967
Be 0.0000 0.0000 10.4276
Be 1.1279 -0.6512 8.6584
Be 0.0000 1.3024 8.6584
Be 0.0000 0.0000 13.8708
Be 1.1279 0.6512 12.1967
Co 0.0000 0.0000 0.0000

---

12
Lattice="2.2988 1.3272 7.1351 -2.2988 1.3272 7.1351 0.0000 -2.6545 7.1351" Properties=species:S:1:pos:R:3 comment="PBE Ta3Be7Co2, relaxed" e_tot_ev_per_atom=-6.538 formation_enthalpy_0k_ev_per_atom=-0.217 magmom_total_mub_per_fu=0.87 pbc="T T T"
Ta 0.0000 0.0000 0.0000
Ta 0.0000 0.0000 3.0579
Ta 0.0000 0.0000 18.3475
Be -1.1654 -0.6728 8.9186
Be 0.0000 -1.3456 12.4868
Be -1.1653 0.6728 12.4868
Be 0.0000 0.0000 10.7027
Be 1.1654 -0.6728 8.9186
Be 0.0000 1.3456 8.9186
Be 1.1653 0.6728 12.4868
Co 0.0000 0.0000 7.1546
Co 0.0000 0.0000 14.2508

---

10
Lattice="-1.8144 1.8144 8.3121 1.8144 -1.8144 8.3121 1.8144 1.8144 -8.3121" Properties=species:S:1:pos:R:3 comment="PBE TaBe2Co2, relaxed" e_tot_ev_per_atom=-6.793 formation_enthalpy_0k_ev_per_atom=-0.090 de_polymorph_mev_per_atom=134 magmom_total_mub_per_fu=0.00 pbc="T T T"
Ta 0.0000 0.0000 1.9847
Ta 0.0000 0.0000 14.6396
Be 1.8144 0.0000 4.1561
Be 0.0000 0.0000 7.1349
Be 0.0000 0.0000 9.4894
Be 0.0000 1.8144 4.1561
Co 1.8144 0.0000 0.0000
Co 0.0000 0.0000 5.0391
Co 0.0000 1.8144 0.0000
Co 0.0000 0.0000 11.5851

---

4
Lattice="2.7801 0.0000 0.0000 0.0000 2.7801 0.0000 0.0000 0.0000 5.8414" Properties=species:S:1:pos:R:3 comment="PBE TaBe2Co, relaxed" e_tot_ev_per_atom=-6.705 formation_enthalpy_0k_ev_per_atom=-0.102 de_polymorph_mev_per_atom=73 magmom_total_mub_per_fu=0.00 pbc="T T T"
Ta 0.0000 0.0000 0.0000
Be 0.0000 0.0000 2.9595
Be 1.3901 1.3901 1.8172
Co 1.3901 1.3901 4.1409

---

5
Lattice="-1.8090 1.8090 4.1271 1.8090 -1.8090 4.1271 1.8090 1.8090 -4.1271" Properties=species:S:1:pos:R:3 comment="PBE TaBe2Co2, relaxed" e_tot_ev_per_atom=-6.887 formation_enthalpy_0k_ev_per_atom=-0.183 de_polymorph_mev_per_atom=40 magmom_total_mub_per_fu=0.00 pbc="T T T"
Ta 0.0000 0.0000 0.0000
Be 0.0000 0.0000 3.1262
Be 0.0000 0.0000 5.1280
Co 1.8090 0.0000 2.0636
Co 0.0000 1.8090 2.0636

---

5
Lattice="-1.8047 1.8047 4.2625 1.8047 -1.8047 4.2625 1.8047 1.8047 -4.2625" Properties=species:S:1:pos:R:3 comment="PBE TaBe2Co2, relaxed" e_tot_ev_per_atom=-6.700 formation_enthalpy_0k_ev_per_atom=0.004 de_polymorph_mev_per_atom=227 magmom_total_mub_per_fu=0.00 pbc="T T T"
Ta 0.0000 0.0000 0.0000
Be 1.8047 0.0000 2.1313
Be 0.0000 1.8047 2.1313
Co 0.0000 0.0000 3.1638
Co 0.0000 0.0000 5.3613

---

4
Lattice="0.0000 2.7962 2.7962 2.7962 0.0000 2.7962 2.7962 2.7962 0.0000" Properties=species:S:1:pos:R:3 comment="PBE TaBe2Co, relaxed" e_tot_ev_per_atom=-6.649 formation_enthalpy_0k_ev_per_atom=-0.047 de_polymorph_mev_per_atom=128 magmom_total_mub_per_fu=0.01 pbc="T T T"
Ta 0.0000 0.0000 0.0000
Be 1.3981 1.3981 1.3981
Be 4.1944 4.1944 4.1944
Co 2.7962 2.7962 2.7962

---

4
Lattice="2.7451 0.0000 0.0000 0.0000 2.7451 0.0000 0.0000 0.0000 5.8638" Properties=species:S:1:pos:R:3 comment="PBE TaBe2Co, relaxed" e_tot_ev_per_atom=-6.769 formation_enthalpy_0k_ev_per_atom=-0.166 de_polymorph_mev_per_atom=9 magmom_total_mub_per_fu=0.00 pbc="T T T"
Ta 0.0000 0.0000 0.0000
Be 1.3725 1.3725 1.8076
Be 1.3725 1.3725 4.0562
Co 0.0000 0.0000 2.9319

---

12
Lattice="3.8067 0.0000 0.0000 0.0000 5.4442 0.0000 -1.9118 0.0000 5.6706" Properties=species:S:1:pos:R:3 comment="PBE TaBe5Co6, relaxed" e_tot_ev_per_atom=-6.386 formation_enthalpy_0k_ev_per_atom=-0.293 magmom_total_mub_per_fu=0.00 pbc="T T T"
Ta 0.0000 0.0000 0.0000
Be 0.0000 2.7221 0.0000
Be -0.0072 0.0000 3.7475
Be -0.0041 2.7221 3.8136
Be 1.8989 2.7221 1.8570
Be 1.9020 0.0000 1.9231
Co -0.0038 1.4315 1.9732
Co -0.0038 4.0128 1.9732
Co 1.9034 1.4892 0.0000
Co 1.9034 3.9550 0.0000
Co 1.8986 1.4315 3.6974
Co 1.8986 4.0128 3.6974

---

4
Lattice="-1.4230 2.0928 4.0243 1.4230 -2.0928 4.0243 1.4230 2.0928 -4.0243" Properties=species:S:1:pos:R:3 comment="PBE TaBe2Co, relaxed" e_tot_ev_per_atom=-6.482 formation_enthalpy_0k_ev_per_atom=0.121 de_polymorph_mev_per_atom=295 magmom_total_mub_per_fu=1.02 pbc="T T T"
Ta 0.0000 0.0000 0.0000
Be 1.4230 0.0000 2.1896
Be 0.0000 2.0928 1.8348
Co 0.0000 0.0000 4.0243

---

28
Lattice="7.1084 0.0000 0.0000 0.0000 4.2057 0.0000 0.0000 0.0000 8.8178" Properties=species:S:1:pos:R:3 comment="PBE TaBe5Co, relaxed" e_tot_ev_per_atom=-5.622 formation_enthalpy_0k_ev_per_atom=-0.253 magmom_total_mub_per_fu=0.00 pbc="T T T"
Ta 1.6617 1.0514 0.5939
Ta 1.8924 3.1543 5.0027
Ta 5.2159 1.0514 3.8150
Ta 5.4466 3.1543 8.2239
Be 0.2744 3.1543 0.9177
Be 0.4234 0.0386 2.7414
Be 0.4234 2.0643 2.7414
Be 0.5930 1.0514 4.5502
Be 1.4027 1.0514 6.6136
Be 2.1515 3.1543 2.2047
Be 2.9612 3.1543 0.1413
Be 3.1308 2.1414 7.1503
Be 3.1308 4.1672 7.1503
Be 3.2798 1.0514 5.3266
Be 3.8286 3.1543 3.4912
Be 3.9776 0.0386 1.6675
Be 3.9776 2.0643 1.6675
Be 4.1471 1.0514 8.6765
Be 4.9569 1.0514 6.6130
Be 5.7056 3.1543 2.2041
Be 6.5154 3.1543 4.2676
Be 6.6849 2.1414 6.0764
Be 6.6849 4.1672 6.0764
Be 6.8340 1.0514 7.9001
Co 1.0330 3.1543 7.6301
Co 2.5212 1.0514 3.2212
Co 4.5871 3.1543 5.5966
Co 6.0754 1.0514 1.1877

---

10
Lattice="6.4319 0.0000 0.0000 0.0000 6.4319 0.0000 0.0000 0.0000 2.6157" Properties=species:S:1:pos:R:3 comment="PBE TaBe2Co2, relaxed" e_tot_ev_per_atom=-6.927 formation_enthalpy_0k_ev_per_atom=-0.224 de_polymorph_mev_per_atom=0 magmom_total_mub_per_fu=0.00 pbc="T T T"
Ta 0.0000 0.0000 0.0000
Ta 3.2160 3.2160 0.0000
Be 0.7443 2.4717 0.0000
Be 2.4717 5.6876 0.0000
Be 3.9603 0.7443 0.0000
Be 5.6876 3.9603 0.0000
Co 1.1328 4.3488 1.3078
Co 2.0831 1.1328 1.3078
Co 4.3488 5.2991 1.3078
Co 5.2991 2.0831 1.3078